MnCoRe2 | PBE-GGA | optimized geometry

```
data_MnCoRe2
_cell_length_a 2.6796
_cell_length_b 2.6796
_cell_length_c 25.4713
_cell_angle_alpha 90.00
_cell_angle_beta 90.00
_cell_angle_gamma 120.00
_symmetry_space_group_name_H-M 'R 3 m'
_symmetry_Int_Tables_number 160
_symmetry_space_group_name_Hall 'R 3 -2"'
loop_
_atom_site_label
_atom_site_type_symbol
_atom_site_fract_x
_atom_site_fract_y
_atom_site_fract_z
_atom_site_occupancy
Mn1 Mn 0.0000 0.0000 0.0000 1
Co1 Co 0.0000 0.0000 0.7436 1
Re1 Re 0.0000 0.0000 0.2514 1
Re2 Re 0.0000 0.0000 0.4928 1
```

The value obtained for the formation energy is 4.6 kcal/mol of atoms. The volume is 158.38 Å³ per cell. The mass density is 15.3 Mg/m³.